No. 1
This record from Alexandria via LeMat-Bulk describes a geometry-optimized CrNi4Ru structure. The functional is GGA-PBE.

```
CrNi4Ru
1.0
0.0431 -3.4519 -3.1320
2.2492 -3.9728 0.9410
-2.4097 -3.9080 0.8054
Cr Ni Ru
1 4 1
Direct
0.0000 0.0000 0.0000
0.6250 0.6250 0.1249
0.6250 0.1249 0.6250
0.6250 0.6250 0.6250
0.1249 0.6250 0.6250
0.2500 0.2500 0.2500
```

DOS(E_F) ... 6.31 states/eV/cell
Calculated formation energy ... 0.13 eV/atom

=====

No. 2
This record from Alexandria via LeMat-Bulk describes a geometry-optimized CaPtSe structure. The functional is GGA-PBE.

```
CaPtSe
1.0
-0.2906 -3.6670 -1.3761
3.5997 2.8841 -2.8397
4.4116 -2.2552 5.0756
Ca Pt Se
2 2 2
Direct
0.2924 0.7546 0.8982
0.6437 0.4574 0.4293
0.3587 0.8873 0.4346
0.9472 0.0641 0.6701
0.8926 0.9549 0.2138
0.5715 0.3129 0.8477
```

DOS(E_F) ... 0.00 states/eV/cell
Uncorrected formation energy ... -3.32 eV per formula unit